Entry 1:
VASP calculation (PBE) on a geometry-optimized Hf6IrOs structure.

```
8
Lattice="-0.2153 6.1055 0.2951 -0.5848 2.6075 5.4856 4.9589 1.4656 3.2257" Properties=species:S:1:pos:R:3 pbc="T T T"
Hf -0.5997 6.5355 4.3315
Hf 1.8258 5.2804 1.7778
Hf 2.5208 6.6146 4.6114
Hf -0.2004 2.1776 1.4492
Hf 1.6380 3.5640 4.3949
Hf 2.3330 4.8982 7.2285
Ir 0.0000 0.0000 0.0000
Os -0.4000 4.3565 2.8903
```

Computed properties:
For the spin magnetization, the calculation gives 0.0 μB/cell. For the total DFT energy (no corrections), the calculation gives -0.732 Ry per atom. For the volume, the calculation gives 173.46 Å³ per cell. For the density of states at the Fermi level, the calculation gives 5.916 states/eV/cell. The symmetry is C2/m (12). As for the formation energy: 0.01 eV per atom.

---

Entry 2:
VASP calculation (PBE) on a geometry-optimized RbZnSnSb2 structure.

```
10
Lattice="4.5317 0.0000 0.0000 2.2658 7.7330 -0.0787 2.2658 1.1620 9.9532" Properties=species:S:1:pos:R:3 pbc="T T T"
Zn 6.7975 7.4620 2.5406
Zn 2.2658 1.4330 7.3339
Sn 4.5317 3.8564 8.9765
Sn 4.5317 5.0386 0.8980
Sb 4.5317 7.4884 9.4228
Sb 4.5317 6.5396 3.5043
Sb 4.5317 1.4066 0.4517
Sb 4.5317 2.3554 6.3703
Rb 6.7975 6.0477 6.4865
Rb 2.2658 2.8473 3.3880
```

Computed properties:
For the spin magnetization, the calculation gives 0.0 μB/cell. For the total DFT energy (no corrections), the calculation gives -0.227 Ry per atom. For the volume, the calculation gives 349.21 Å³ per cell. For the density of states at the Fermi level, the calculation gives 0.521 states/eV/cell. The symmetry is C2/m (12). The energy relative to the elements, uncorrected is -186 meV/atom.

---

Entry 3:
VASP calculation (PBE) on a geometry-optimized BaLi4 structure.

```
5
Lattice="6.0352 -0.0222 0.0000 -4.0652 4.4608 0.0000 -0.9850 -2.2193 5.5253" Properties=species:S:1:pos:R:3 pbc="T T T"
Li -0.2706 2.7766 2.2536
Li 3.0448 1.3050 1.3738
Li 1.2557 -0.5573 3.2717
Li -2.0598 0.9142 4.1515
Ba 0.0000 0.0000 0.0000
```

Computed properties:
For the spin magnetization, the calculation gives 0.0 μB/cell. The energy above the most stable polymorph in this dataset comes out at 0.0662 eV per atom. For the total DFT energy (no corrections), the calculation gives -0.135 Ry per atom. For the volume, the calculation gives 148.25 Å³ per cell. For the density of states at the Fermi level, the calculation gives 2.900 states/eV/cell. The symmetry is I4/m (87). As for the formation energy: 0.08 eV per atom.

---

Entry 4:
VASP calculation (PBE) on a geometry-optimized Sr3Fe5H12 structure.

```
80
Lattice="10.1150 0.0000 0.0000 -3.3717 9.5365 0.0000 -3.3717 -4.7682 8.2588" Properties=species:S:1:pos:R:3 pbc="T T T"
H 2.5410 3.6648 3.4761
H 7.5068 4.8190 1.3946
H -2.5165 8.3303 0.7824
H -1.9494 1.9799 4.9118
H 3.1081 1.9086 4.8707
H -0.3553 0.7814 1.4358
H -0.8307 -2.4586 5.5652
H 4.2023 7.2269 2.6936
H -2.0411 5.5497 6.8231
H 4.2940 4.7175 1.3946
H -0.9224 0.0507 6.8642
H 2.4493 3.5351 0.6534
H 6.3880 0.7500 4.0883
H 2.0411 1.5314 2.7348
H 7.5985 2.3096 2.6936
H 1.3305 3.2368 5.5240
H 0.9224 -1.1824 7.5176
H 0.3553 6.2997 5.5240
H 3.0164 -1.5314 2.7348
H -0.8552 5.8717 3.4761
H 1.4222 6.6769 3.3882
H 5.4128 -0.7814 1.4358
H 6.4797 0.8797 0.0412
H 5.3211 2.7883 3.3470
H 4.7022 5.5182 4.1706
H 4.2023 1.2062 0.7824
H -3.6352 6.7482 3.3470
H -3.0163 4.0183 4.1706
H 0.9224 1.2331 7.6055
H 4.2268 -1.1035 4.7828
H -1.9494 -3.8886 8.2177
H 0.8307 1.1034 4.7828
H -4.2268 2.4586 5.5652
H 0.2636 2.8596 3.3882
H -0.8307 3.5621 7.4764
H -1.3305 -0.7500 4.0883
H 4.1351 -1.2331 7.6055
H -0.7635 6.0014 0.6534
H 3.7270 3.9868 6.8231
H -0.7634 3.5858 0.7413
H 4.1351 1.1824 7.5176
H 5.8881 -3.5621 7.4764
H 1.9494 -1.9086 4.8707
H -4.1351 -0.0507 6.8642
H 5.3211 8.6568 0.0412
H 7.0069 -1.9799 4.9118
H -3.1081 3.8885 8.2177
H 2.4493 5.9506 0.7413
Fe -0.8429 7.7484 1.0324
Fe -1.6858 -2.3841 4.1294
Fe 1.6858 2.3841 4.1294
Fe -3.3717 2.3841 4.1294
Fe 0.8429 -2.3841 6.1941
Fe 4.2146 4.1722 3.0971
Fe 3.3717 4.7682 0.0000
Fe 5.9004 -0.5960 5.1618
Fe 2.5287 7.1524 2.0647
Fe 3.3717 -2.3841 4.1294
Fe 0.8429 2.9802 7.2265
Fe -2.5287 5.3643 3.0971
Fe 0.0000 0.0000 0.0000
Fe -1.6858 4.7682 0.0000
Fe -0.8429 0.5960 5.1618
Fe 5.0575 0.0000 0.0000
Fe 2.5287 1.7881 1.0324
Fe 4.2146 -2.9802 7.2265
Fe -0.8429 2.3841 2.0647
Fe 4.2146 2.3841 6.1941
Sr 2.5287 5.3643 5.1618
Sr 5.9004 6.5563 1.0324
Sr -4.2146 4.7682 6.1941
Sr 2.5287 0.0000 6.1941
Sr 4.2146 0.5960 3.0971
Sr 7.5862 0.0000 2.0647
Sr 0.8429 4.7682 2.0647
Sr 0.8429 -0.5960 3.0971
Sr -2.5287 -1.7881 7.2265
Sr -0.8429 4.1722 5.1618
Sr 5.9004 2.9802 1.0324
Sr -2.5287 1.7881 7.2265
```

Computed properties:
For the spin magnetization, the calculation gives 32.1 μB/cell. For the total DFT energy (no corrections), the calculation gives -0.320 Ry per atom. For the volume, the calculation gives 796.66 Å³ per cell. For the density of states at the Fermi level, the calculation gives 44.499 states/eV/cell. The symmetry is Ia-3d (230).

---

Entry 5:
VASP calculation (PBE) on a geometry-optimized Sn5AsRh3 structure.

```
18
Lattice="7.2863 -0.1901 0.3841 1.8118 7.0600 0.3841 3.1569 2.3837 8.5524" Properties=species:S:1:pos:R:3 pbc="T T T"
Sn 3.4160 4.9355 0.3841
Sn 5.2541 3.9673 8.5908
Sn 5.2156 3.9382 3.4013
Sn 3.4952 5.8879 5.8800
Sn 8.7599 3.3658 3.4405
Sn 7.0009 5.2863 0.7297
Sn 6.6197 1.7498 5.8800
Sn 7.0394 5.3154 5.9192
Sn 5.6353 7.5038 3.4405
Sn 5.6821 1.9344 0.3841
As 9.3059 7.0268 3.2617
As 2.9491 2.2269 6.0589
Rh 8.6807 6.5547 7.5366
Rh 4.8713 3.6782 6.0284
Rh 7.3837 5.5754 3.2921
Rh 1.5784 1.1919 4.2762
Rh 0.0000 0.0000 0.0000
Rh 3.5743 2.6990 1.7839
```

Computed properties:
For the spin magnetization, the calculation gives 0.0 μB/cell. For the total DFT energy (no corrections), the calculation gives -0.401 Ry per atom. For the volume, the calculation gives 429.10 Å³ per cell. For the density of states at the Fermi level, the calculation gives 9.011 states/eV/cell. The symmetry is C2/m (12). As for the formation energy: -0.27 eV per atom.

---

Entry 6:
VASP calculation (PBE) on a geometry-optimized Ba3SnHg3 structure.

```
14
Lattice="-2.7137 -0.6454 4.0944 3.3987 -3.3086 4.7284 4.6974 14.0754 8.3294" Properties=species:S:1:pos:R:3 pbc="T T T"
Ba 4.1648 11.7628 10.6091
Ba 1.3361 2.3201 4.2486
Ba 2.4439 7.1282 8.7381
Ba 2.9385 2.9933 8.4141
Ba 4.0463 7.8014 12.9036
Ba 1.2177 -1.6413 6.5430
Hg 4.0855 10.2198 7.3160
Hg 2.7075 5.5186 5.6617
Hg 1.2970 -0.0984 9.8361
Hg -1.5351 0.0145 4.9795
Hg 2.6749 4.6029 11.4905
Hg 6.9175 10.1070 12.1726
Sn 5.2894 5.4538 10.3601
Sn 0.0930 4.6677 6.7921
```

Computed properties:
For the spin magnetization, the calculation gives 0.0 μB/cell. For the total DFT energy (no corrections), the calculation gives -0.150 Ry per atom. For the volume, the calculation gives 518.83 Å³ per cell. For the density of states at the Fermi level, the calculation gives 10.097 states/eV/cell. The symmetry is C2/m (12). As for the formation energy: -0.52 eV per atom.